Record 1
10
Lattice="-1.417 -1.104 -6.289 4.822 -4.408 -0.312 -2.857 -3.211 1.207" Properties=species:S:1:pos:R:3 comment="NiAu2Se2 | Alexandria via LeMat-Bulk | PBE-GGA | optimized geometry" magmom_total_mub_per_cell=0.00 spacegroup="P4/mbm (127)" raw_formation_energy_mev_per_atom=213 pbc="T T T"
Ni 1.703 -2.756 -3.301
Ni 0.000 0.000 0.000
Se 3.493 -3.955 -2.254
Se 2.132 -3.910 -5.356
Se -0.088 -1.557 -4.348
Se 1.274 -1.602 -1.246
Au -0.982 -4.026 -4.780
Au 1.681 -6.034 -3.816
Au 1.530 -4.697 -0.615
Au -1.133 -2.689 -1.579



Record 2
10
Lattice="5.482 0.000 0.000 0.000 5.598 0.000 0.000 -2.799 9.674" Properties=species:S:1:pos:R:3 comment="Sm3CdTe | Alexandria via LeMat-Bulk | PBE-GGA | optimized geometry" magmom_total_mub_per_cell=0.00 spacegroup="Cmcm (63)" raw_formation_energy_mev_per_atom=-507 pbc="T T T"
Cd 4.112 0.984 6.908
Cd 1.371 3.783 2.766
Te 4.112 0.985 3.210
Te 1.371 -1.814 6.464
Sm 4.112 3.782 1.054
Sm 1.371 0.986 4.945
Sm 4.112 3.785 4.729
Sm 4.112 -1.816 8.397
Sm 1.371 0.983 1.277
Sm 1.371 0.983 8.620



Record 3
8
Lattice="7.875 0.000 0.000 0.000 7.875 0.000 3.938 3.938 4.062" Properties=species:S:1:pos:R:3 comment="CuBiI2 | Alexandria via LeMat-Bulk | PBE-GGA | optimized geometry" magmom_total_mub_per_cell=0.00 spacegroup="I-42d (122)" raw_formation_energy_mev_per_atom=201 pbc="T T T"
Cu 3.938 7.875 2.031
Cu 3.938 3.938 0.000
I 2.419 5.906 1.016
I 5.906 6.356 3.047
I 9.844 9.394 3.047
I 5.457 1.969 1.016
Bi 0.000 0.000 0.000
Bi 7.875 3.938 2.031



We obtain V values of 19.1; 29.7; 31.5 A^3/atom for the records listed above, in that order.